A relaxed structure of NpFe4Pd. Source: the Alexandria database, functional PBE.

```
data_NpFe4Pd
_chemical_formula_sum 'Np4 Fe16 Pd4'
_space_group_name_H-M_alt 'F -4 3 m'
_space_group_IT_number 216
_space_group_name_Hall 'F -4 2 3'
_cell_length_a 7.007
_cell_length_b 7.007
_cell_length_c 7.007
_cell_angle_alpha 90.00
_cell_angle_beta 90.00
_cell_angle_gamma 90.00
loop_
_atom_site_label
_atom_site_fract_x
_atom_site_fract_y
_atom_site_fract_z
Np1 0.000 0.000 0.000
Fe1 0.125 0.125 0.375
Pd1 0.250 0.250 0.750
```

Values from the calculation:
* total DFT energy (no corrections): -203.238 eV per cell
* formation energy: 18.89 kJ per mole of atoms
* V: 344.0 Å³ per cell